(1)
# PBEsol Cs2CuBiF6, optimized geometry
data_Cs2CuBiF6
_space_group_name_H-M_alt 'F m -3 m'
_space_group_IT_number 225
_space_group_name_Hall '-F 4 2 3'
_cell_length_a 8.946
_cell_length_b 8.946
_cell_length_c 8.946
_cell_angle_alpha 90.00
_cell_angle_beta 90.00
_cell_angle_gamma 90.00
loop_
_atom_site_label
_atom_site_type_symbol
_atom_site_fract_x
_atom_site_fract_y
_atom_site_fract_z
_atom_site_occupancy
Cs1 Cs 0.250 0.250 0.250 1
Cu1 Cu 0.000 0.000 0.000 1
Bi1 Bi 0.000 0.000 0.500 1
F1 F 0.000 0.000 0.244 1
# * ΔE_f (raw): -218.8 kJ per mole of atoms

(2)
# PBEsol Zr2MoW, optimized geometry
data_Zr2MoW
_space_group_name_H-M_alt 'P m m 2'
_space_group_IT_number 25
_cell_length_a 3.040
_cell_length_b 4.432
_cell_length_c 5.453
_cell_angle_alpha 90.00
_cell_angle_beta 90.00
_cell_angle_gamma 90.00
loop_
_space_group_symop_operation_xyz
'x,y,z'
'-x,-y,z'
'-x,y,z'
'x,-y,z'
loop_
_atom_site_label
_atom_site_type_symbol
_atom_site_fract_x
_atom_site_fract_y
_atom_site_fract_z
_atom_site_occupancy
Zr1 Zr 0.000 0.000 0.000 1
Zr2 Zr 0.500 0.500 0.269 1
Mo1 Mo 0.000 0.000 0.533 1
W1 W 0.500 0.500 0.745 1
# * energy of formation: 1.39 eV per formula unit

(3)
# PBEsol PaTiTc2, optimized geometry
data_PaTiTc2
_space_group_name_H-M_alt 'F m -3 m'
_space_group_IT_number 225
_space_group_name_Hall '-F 4 2 3'
_cell_length_a 6.464
_cell_length_b 6.464
_cell_length_c 6.464
_cell_angle_alpha 90.00
_cell_angle_beta 90.00
_cell_angle_gamma 90.00
loop_
_atom_site_label
_atom_site_type_symbol
_atom_site_fract_x
_atom_site_fract_y
_atom_site_fract_z
_atom_site_occupancy
Pa1 Pa 0.000 0.000 0.000 1
Ti1 Ti 0.000 0.000 0.500 1
Tc1 Tc 0.250 0.250 0.250 1
# * energy of formation: -1.25 eV per formula unit

(4)
# PBEsol Tl2FeMo, optimized geometry
data_Tl2FeMo
_space_group_name_H-M_alt 'P 1 2/m 1'
_space_group_IT_number 10
_cell_length_a 2.928
_cell_length_b 4.443
_cell_length_c 5.628
_cell_angle_alpha 90.00
_cell_angle_beta 98.10
_cell_angle_gamma 90.00
loop_
_space_group_symop_operation_xyz
'x,y,z'
'-x,-y,-z'
'-x,y,-z'
'x,-y,z'
loop_
_atom_site_label
_atom_site_type_symbol
_atom_site_fract_x
_atom_site_fract_y
_atom_site_fract_z
_atom_site_occupancy
Tl1 Tl 0.182 0.000 0.255 1
Fe1 Fe 0.000 0.500 0.500 1
Mo1 Mo 0.500 0.500 0.000 1
# * energy of formation: 3.27 eV per formula unit

(5)
# PBEsol SrTe2HN, optimized geometry
data_SrTe2HN
_space_group_name_H-M_alt 'P 4/m m m'
_space_group_IT_number 123
_space_group_name_Hall '-P 4 2'
_cell_length_a 4.332
_cell_length_b 4.332
_cell_length_c 5.575
_cell_angle_alpha 90.00
_cell_angle_beta 90.00
_cell_angle_gamma 90.00
loop_
_atom_site_label
_atom_site_type_symbol
_atom_site_fract_x
_atom_site_fract_y
_atom_site_fract_z
_atom_site_occupancy
Sr1 Sr 0.000 0.000 0.000 1
Te1 Te 0.000 0.500 0.500 1
H1 H 0.500 0.500 0.500 1
N1 N 0.500 0.500 0.000 1
# * energy: -3.720 eV/atom

(6)
# PBEsol RbNa2Hg2, optimized geometry
data_RbNa2Hg2
_space_group_name_H-M_alt 'I 4/m m m'
_space_group_IT_number 139
_space_group_name_Hall '-I 4 2'
_cell_length_a 4.909
_cell_length_b 4.909
_cell_length_c 13.787
_cell_angle_alpha 90.00
_cell_angle_beta 90.00
_cell_angle_gamma 90.00
loop_
_atom_site_label
_atom_site_type_symbol
_atom_site_fract_x
_atom_site_fract_y
_atom_site_fract_z
_atom_site_occupancy
Rb1 Rb 0.000 0.000 0.000 1
Na1 Na 0.000 0.500 0.250 1
Hg1 Hg 0.000 0.000 0.395 1
# * energy of formation: -0.82 eV per formula unit

(7)
# PBEsol SCl2O, optimized geometry
data_SCl2O
_space_group_name_H-M_alt 'P 1 21/c 1'
_space_group_IT_number 14
_cell_length_a 9.021
_cell_length_b 5.840
_cell_length_c 7.693
_cell_angle_alpha 90.00
_cell_angle_beta 101.40
_cell_angle_gamma 90.00
loop_
_space_group_symop_operation_xyz
'x,y,z'
'-x,-y,-z'
'-x,y+1/2,-z+1/2'
'x,-y+1/2,z+1/2'
loop_
_atom_site_label
_atom_site_type_symbol
_atom_site_fract_x
_atom_site_fract_y
_atom_site_fract_z
_atom_site_occupancy
S1 S 0.166 0.056 0.252 1
Cl1 Cl 0.256 0.721 0.911 1
Cl2 Cl 0.372 0.200 0.226 1
O1 O 0.096 0.209 0.360 1
# * ΔE_f (raw): -56.1 kJ per mole of atoms

(8)
# PBEsol Li4Mn3V3Fe2O16, optimized geometry
data_Li4Mn3V3Fe2O16
_space_group_name_H-M_alt 'P 1'
_space_group_IT_number 1
_cell_length_a 5.657
_cell_length_b 5.666
_cell_length_c 9.534
_cell_angle_alpha 90.56
_cell_angle_beta 90.02
_cell_angle_gamma 119.83
loop_
_space_group_symop_operation_xyz
'x,y,z'
loop_
_atom_site_label
_atom_site_type_symbol
_atom_site_fract_x
_atom_site_fract_y
_atom_site_fract_z
_atom_site_occupancy
Li1 Li 0.000 0.000 0.000 1
Li2 Li 0.002 0.010 0.497 1
Li3 Li 0.339 0.670 0.101 1
Li4 Li 0.666 0.333 0.597 1
Mn1 Mn 0.163 0.326 0.783 1
Mn2 Mn 0.335 0.171 0.280 1
Mn3 Mn 0.831 0.180 0.281 1
V1 V 0.172 0.821 0.777 1
V2 V 0.649 0.823 0.778 1
V3 V 0.832 0.647 0.279 1
Fe1 Fe 0.341 0.671 0.496 1
Fe2 Fe 0.667 0.334 0.999 1
O1 O 0.036 0.514 0.664 1
O2 O 0.160 0.838 0.390 1
O3 O 0.162 0.330 0.390 1
O4 O 0.326 0.155 0.891 1
O5 O 0.328 0.656 0.894 1
O6 O 0.476 0.514 0.663 1
O7 O 0.484 0.969 0.656 1
O8 O 0.516 0.480 0.161 1
O9 O 0.519 0.041 0.165 1
O10 O 0.657 0.328 0.394 1
O11 O 0.681 0.844 0.387 1
O12 O 0.829 0.155 0.891 1
O13 O 0.837 0.675 0.888 1
O14 O 0.970 0.482 0.155 1
O15 O 0.996 0.001 0.185 1
O16 O 0.997 0.996 0.682 1
# * ΔE_f (raw): -186.8 kJ per mole of atoms

(9)
# PBEsol Mn2AlRh, optimized geometry
data_Mn2AlRh
_space_group_name_H-M_alt 'R 3 m'
_space_group_IT_number 160
_space_group_name_Hall 'R 3 -2"'
_cell_length_a 2.6467
_cell_length_b 2.6467
_cell_length_c 24.2136
_cell_angle_alpha 90.00
_cell_angle_beta 90.00
_cell_angle_gamma 120.00
loop_
_atom_site_label
_atom_site_type_symbol
_atom_site_fract_x
_atom_site_fract_y
_atom_site_fract_z
_atom_site_occupancy
Mn1 Mn 0.0000 0.0000 0.0000 1
Mn2 Mn 0.0000 0.0000 0.2578 1
Al1 Al 0.0000 0.0000 0.7512 1
Rh1 Rh 0.0000 0.0000 0.5042 1
# * energy of formation: -0.36 eV per formula unit

(10)
# PBEsol Ba2NaSn2, optimized geometry
data_Ba2NaSn2
_space_group_name_H-M_alt 'P 4/m b m'
_space_group_IT_number 127
_space_group_name_Hall '-P 4 2ab'
_cell_length_a 8.786
_cell_length_b 8.786
_cell_length_c 4.937
_cell_angle_alpha 90.00
_cell_angle_beta 90.00
_cell_angle_gamma 90.00
loop_
_atom_site_label
_atom_site_type_symbol
_atom_site_fract_x
_atom_site_fract_y
_atom_site_fract_z
_atom_site_occupancy
Ba1 Ba 0.172 0.328 0.000 1
Na1 Na 0.000 0.000 0.500 1
Sn1 Sn 0.118 0.618 0.500 1
# * energy of formation: -2.51 eV per formula unit

(11)
# PBEsol NiHgIr2, optimized geometry
data_NiHgIr2
_space_group_name_H-M_alt 'P 4 m m'
_space_group_IT_number 99
_cell_length_a 2.759
_cell_length_b 2.759
_cell_length_c 7.642
_cell_angle_alpha 90.00
_cell_angle_beta 90.00
_cell_angle_gamma 90.00
loop_
_space_group_symop_operation_xyz
'x,y,z'
'-y,x,z'
'-x,-y,z'
'y,-x,z'
'-x,y,z'
'y,x,z'
'x,-y,z'
'-y,-x,z'
loop_
_atom_site_label
_atom_site_type_symbol
_atom_site_fract_x
_atom_site_fract_y
_atom_site_fract_z
_atom_site_occupancy
Ni1 Ni 0.000 0.000 0.000 1
Hg1 Hg 0.500 0.500 0.256 1
Ir1 Ir 0.000 0.000 0.547 1
Ir2 Ir 0.500 0.500 0.780 1
# * energy of formation: 0.74 eV per formula unit

(12)
# PBEsol Al2O3, optimized geometry
data_Al2O3
_space_group_name_H-M_alt 'P -3 1 c'
_space_group_IT_number 163
_space_group_name_Hall '-P 3 2c'
_cell_length_a 4.8109
_cell_length_b 4.8109
_cell_length_c 9.0032
_cell_angle_alpha 90.00
_cell_angle_beta 90.00
_cell_angle_gamma 120.00
loop_
_atom_site_label
_atom_site_type_symbol
_atom_site_fract_x
_atom_site_fract_y
_atom_site_fract_z
_atom_site_occupancy
Al1 Al 0.0000 0.0000 0.0000 1
Al2 Al 0.3333 0.6667 0.0374 1
Al3 Al 0.3333 0.6667 0.7500 1
O1 O 0.0321 0.3550 0.6122 1
# * ΔE_f (raw): -289.4 kJ per mole of atoms

no.,magnetization (μB/cell)
1,0.00
2,0.00
3,0.00
4,2.73
5,1.91
6,0.00
7,0.00
8,0.57
9,3.14
10,0.00
11,0.00
12,0.00